Record 1
An optimized crystal structure of LiSn2P3O12. Source: Alexandria, functional PBE.

Computed properties:
SG   No. 2
Uncorrected energy   -0.5012 Ry per atom
Energy relative to the lowest polymorph listed for this composition   0 meV per atom
Spin magnetization   0.00 μB per formula unit
DOS(E_F)   0.00 states/eV per cell

Geometry as extended XYZ:
```
36
Lattice="8.567 0.007 0.029 -4.275 7.331 -0.020 -4.308 2.434 7.690" Properties=species:S:1:pos:R:3 pbc="T T T"
Li 2.877 4.428 6.674
Li -2.893 5.344 1.025
Sn -0.077 4.885 7.320
Sn 4.237 2.390 4.380
Sn -4.254 7.383 3.319
Sn 0.061 4.888 0.379
P 1.789 7.335 5.822
P 1.203 2.126 5.762
P -3.077 5.203 5.738
P 3.060 4.570 1.961
P -1.220 7.647 1.937
P -1.806 2.438 1.877
O 1.335 5.861 6.102
O 0.563 8.241 5.650
O -3.031 8.321 6.786
O 2.639 2.742 5.700
O -1.649 5.513 6.208
O 0.200 3.230 6.153
O -4.139 5.646 6.824
O -6.035 7.857 7.071
O 5.867 2.451 3.137
O -3.322 3.688 5.583
O 0.836 1.607 4.368
O 3.296 3.846 3.290
O -3.313 5.926 4.409
O -0.852 8.166 3.332
O 3.305 6.084 2.116
O -5.884 7.322 4.562
O 6.018 1.916 0.628
O 4.123 4.126 0.875
O -0.217 6.542 1.546
O 1.632 4.259 1.492
O -2.656 7.030 1.999
O 3.014 1.452 0.914
O -0.580 1.532 2.050
O -1.351 3.911 1.597
```



Record 2
An optimized crystal structure of Li4SnP6O18. Source: Alexandria, functional PBE.

Computed properties:
SG   No. 1
Uncorrected energy   -0.4965 Ry per atom
Energy relative to the lowest polymorph listed for this composition   0 meV per atom
Spin magnetization   0.00 μB per formula unit
DOS(E_F)   0.00 states/eV per cell

Geometry as extended XYZ:
```
29
Lattice="-2.246 -0.422 7.179 1.654 -7.182 -1.141 6.177 4.412 -0.160" Properties=species:S:1:pos:R:3 pbc="T T T"
Li -0.408 -3.730 3.394
Li 3.873 -0.155 0.503
Li 1.832 -2.910 5.378
Li 6.326 -1.268 0.195
Sn -1.633 -1.468 6.654
P 3.027 0.145 4.975
P 3.706 2.850 1.541
P 0.912 -0.723 3.220
P 2.009 -6.027 4.240
P 2.625 -3.496 0.776
P 4.695 -2.528 2.541
O 0.098 0.507 3.920
O 0.713 -0.545 1.746
O 0.592 -2.018 3.899
O 4.370 0.746 4.746
O 2.822 -0.950 5.994
O 2.736 -2.292 -0.158
O 5.539 -3.774 1.917
O 4.922 -2.535 4.016
O 0.055 0.098 6.442
O 1.973 1.351 5.347
O 4.394 1.527 1.466
O 2.452 -0.322 3.534
O 1.312 -4.172 0.923
O 3.746 -4.588 0.360
O 1.345 -4.700 4.321
O 4.998 -1.272 1.760
O 5.690 -3.225 -0.572
O 3.168 -3.016 2.238
```